Record 1
# PBE with a Hubbard U Mg2MnFe3O6, relaxed
# Total energy   -6.6201 eV/atom
# Size of the total moment   1.417 μB/atom
# Crystal system   monoclinic
# SG   C2/m (12)
data_Mg2MnFe3O6
_cell_length_a 6.757
_cell_length_b 6.757
_cell_length_c 6.301
_cell_angle_alpha 103.45
_cell_angle_beta 103.45
_cell_angle_gamma 26.83
_symmetry_space_group_name_H-M 'P 1'
_symmetry_Int_Tables_number 1
loop_
_symmetry_equiv_pos_as_xyz
'x,y,z'
loop_
_atom_site_label
_atom_site_type_symbol
_atom_site_fract_x
_atom_site_fract_y
_atom_site_fract_z
Mg1 Mg 0.168 0.168 0.336
Mg2 Mg 0.832 0.832 0.664
Mn1 Mn 0.500 0.500 0.000
Fe1 Fe 0.166 0.166 0.830
Fe2 Fe 0.500 0.500 0.500
Fe3 Fe 0.834 0.834 0.170
O1 O 0.001 0.001 0.751
O2 O 0.328 0.328 0.899
O3 O 0.334 0.334 0.433
O4 O 0.666 0.666 0.567
O5 O 0.672 0.672 0.101
O6 O 0.999 0.999 0.249

***

Record 2
# PBE with a Hubbard U Mg14MnFeO16, relaxed
# Relative energy among the computed polymorphs   0.0 meV per atom
# Size of the total moment   0.281 μB/atom
# Crystal system   orthorhombic
# SG   Pmmm (47)
data_Mg14MnFeO16
_cell_length_a 4.273
_cell_length_b 8.583
_cell_length_c 8.583
_cell_angle_alpha 90.00
_cell_angle_beta 90.00
_cell_angle_gamma 90.00
_symmetry_space_group_name_H-M 'P 1'
_symmetry_Int_Tables_number 1
loop_
_symmetry_equiv_pos_as_xyz
'x,y,z'
loop_
_atom_site_label
_atom_site_type_symbol
_atom_site_fract_x
_atom_site_fract_y
_atom_site_fract_z
Mg1 Mg 0.000 0.000 0.000
Mg2 Mg 0.000 0.000 0.500
Mg3 Mg 0.000 0.249 0.249
Mg4 Mg 0.000 0.249 0.751
Mg5 Mg 0.000 0.751 0.249
Mg6 Mg 0.000 0.751 0.751
Mg7 Mg 0.500 0.000 0.250
Mg8 Mg 0.500 0.000 0.750
Mg9 Mg 0.500 0.247 0.000
Mg10 Mg 0.500 0.248 0.500
Mg11 Mg 0.500 0.500 0.250
Mg12 Mg 0.500 0.500 0.750
Mg13 Mg 0.500 0.752 0.500
Mg14 Mg 0.500 0.753 0.000
Mn1 Mn 0.000 0.500 0.500
Fe1 Fe 0.000 0.500 0.000
O1 O 0.000 0.000 0.250
O2 O 0.000 0.000 0.750
O3 O 0.000 0.242 0.500
O4 O 0.000 0.243 0.000
O5 O 0.000 0.500 0.248
O6 O 0.000 0.500 0.752
O7 O 0.000 0.757 0.000
O8 O 0.000 0.758 0.500
O9 O 0.500 0.000 0.000
O10 O 0.500 0.000 0.500
O11 O 0.500 0.251 0.250
O12 O 0.500 0.251 0.750
O13 O 0.500 0.500 0.000
O14 O 0.500 0.500 0.500
O15 O 0.500 0.749 0.250
O16 O 0.500 0.749 0.750

***

Record 3
# PBE with a Hubbard U Mg6MnFeO8, relaxed
# Relative energy among the computed polymorphs   61.0 meV per atom
# Size of the total moment   0.563 μB/atom
# Crystal system   tetragonal
# SG   P4/mmm (123)
data_Mg6MnFeO8
_cell_length_a 4.298
_cell_length_b 4.298
_cell_length_c 8.672
_cell_angle_alpha 90.00
_cell_angle_beta 90.00
_cell_angle_gamma 90.00
_symmetry_space_group_name_H-M 'P 1'
_symmetry_Int_Tables_number 1
loop_
_symmetry_equiv_pos_as_xyz
'x,y,z'
loop_
_atom_site_label
_atom_site_type_symbol
_atom_site_fract_x
_atom_site_fract_y
_atom_site_fract_z
Mg1 Mg 0.000 0.000 0.000
Mg2 Mg 0.000 0.000 0.500
Mg3 Mg 0.000 0.500 0.249
Mg4 Mg 0.000 0.500 0.751
Mg5 Mg 0.500 0.000 0.249
Mg6 Mg 0.500 0.000 0.751
Mn1 Mn 0.500 0.500 0.500
Fe1 Fe 0.500 0.500 0.000
O1 O 0.000 0.000 0.249
O2 O 0.000 0.000 0.751
O3 O 0.000 0.500 0.000
O4 O 0.000 0.500 0.500
O5 O 0.500 0.000 0.000
O6 O 0.500 0.000 0.500
O7 O 0.500 0.500 0.248
O8 O 0.500 0.500 0.752

***

Record 4
# PBE with a Hubbard U Mg6MnFeO8, relaxed
# Relative energy among the computed polymorphs   0.0 meV per atom
# Size of the total moment   0.562 μB/atom
# Crystal system   tetragonal
# SG   P4/mmm (123)
data_Mg6MnFeO8
_cell_length_a 4.327
_cell_length_b 4.327
_cell_length_c 8.571
_cell_angle_alpha 90.00
_cell_angle_beta 90.00
_cell_angle_gamma 90.00
_symmetry_space_group_name_H-M 'P 1'
_symmetry_Int_Tables_number 1
loop_
_symmetry_equiv_pos_as_xyz
'x,y,z'
loop_
_atom_site_label
_atom_site_type_symbol
_atom_site_fract_x
_atom_site_fract_y
_atom_site_fract_z
Mg1 Mg 0.000 0.000 0.000
Mg2 Mg 0.000 0.500 0.248
Mg3 Mg 0.000 0.500 0.752
Mg4 Mg 0.500 0.000 0.248
Mg5 Mg 0.500 0.000 0.752
Mg6 Mg 0.500 0.500 0.000
Mn1 Mn 0.000 0.000 0.500
Fe1 Fe 0.500 0.500 0.500
O1 O 0.000 0.000 0.242
O2 O 0.000 0.000 0.758
O3 O 0.000 0.500 0.000
O4 O 0.000 0.500 0.500
O5 O 0.500 0.000 0.000
O6 O 0.500 0.000 0.500
O7 O 0.500 0.500 0.248
O8 O 0.500 0.500 0.752